1.
Material: La2AgI
Method: DFT, PBE-GGA
State: relaxed Values from VASP.

```
&SYSTEM
  ibrav = 0, nat = 4, ntyp = 3
/
ATOMIC_SPECIES
Ag 107.87 Ag.upf
La 138.91 La.upf
I 126.90 I.upf
ATOMIC_POSITIONS crystal
Ag 0.000 0.000 0.000
La 0.750 0.750 0.750
La 0.250 0.250 0.250
I 0.500 0.500 0.500
CELL_PARAMETERS angstrom
-4.791 0.279 2.707
-4.647 1.136 -2.734
-3.802 -3.922 -0.718
```

Results
ΔE to the lowest computed polymorph	97	meV per atom
size of the total moment	0.00	μB/f.u.
symmetry	Fm-3m, No. 225
total DFT energy (no corrections)	-16.17	eV for the cell shown

=====

2.
Material: KPdPt
Method: DFT, PBE-GGA
State: relaxed Values from VASP.

```
&SYSTEM
  ibrav = 0, nat = 6, ntyp = 3
/
ATOMIC_SPECIES
K 39.10 K.upf
Pd 106.42 Pd.upf
Pt 195.08 Pt.upf
ATOMIC_POSITIONS crystal
K 0.718 0.642 0.555
K 0.093 0.016 0.303
Pd 0.406 0.044 0.929
Pd 0.405 0.614 0.929
Pt 0.801 0.225 0.720
Pt 0.010 0.434 0.138
CELL_PARAMETERS angstrom
-2.374 -1.336 -0.729
1.614 0.379 -5.970
3.896 -6.062 3.885
```

Results
E_form	0.43	eV per formula unit
ΔE to the lowest computed polymorph	264	meV per atom
size of the total moment	0.00	μB/f.u.
symmetry	Immm, No. 71
total DFT energy (no corrections)	-23.80	eV for the cell shown

=====

3.
Material: Li2ReP
Method: DFT, PBE-GGA
State: relaxed Values from VASP.

```
&SYSTEM
  ibrav = 0, nat = 4, ntyp = 3
/
ATOMIC_SPECIES
Li 6.94 Li.upf
Re 186.21 Re.upf
P 30.97 P.upf
ATOMIC_POSITIONS crystal
Li 0.250 0.250 0.250
Li 0.000 0.000 0.000
Re 0.750 0.750 0.750
P 0.500 0.500 0.500
CELL_PARAMETERS angstrom
4.083 0.000 0.000
2.041 3.536 0.000
2.041 1.179 3.334
```

Results
E_form	-0.09	eV per formula unit
size of the total moment	0.00	μB/f.u.
symmetry	F-43m, No. 216
total DFT energy (no corrections)	-21.78	eV for the cell shown

=====

4.
Material: Y2Mg2Bi
Method: DFT, PBE-GGA
State: relaxed Values from VASP.

```
&SYSTEM
  ibrav = 0, nat = 10, ntyp = 3
/
ATOMIC_SPECIES
Y 88.91 Y.upf
Mg 24.30 Mg.upf
Bi 208.98 Bi.upf
ATOMIC_POSITIONS crystal
Y 0.663 0.837 0.500
Y 0.163 0.663 0.500
Y 0.337 0.163 0.500
Y 0.837 0.337 0.500
Mg 0.131 0.369 0.000
Mg 0.369 0.869 0.000
Mg 0.631 0.131 0.000
Mg 0.869 0.631 0.000
Bi 0.500 0.500 0.000
Bi 0.000 0.000 0.000
CELL_PARAMETERS angstrom
-0.873 7.456 1.382
-2.034 1.110 -7.273
-4.594 -0.754 1.170
```

Results
E_form	-1.14	eV per formula unit
ΔE to the lowest computed polymorph	0	meV per atom
size of the total moment	0.00	μB/f.u.
symmetry	P4/mbm, No. 127
total DFT energy (no corrections)	-42.27	eV for the cell shown

=====

5.
Material: MgCd2
Method: DFT, PBE-GGA
State: relaxed Values from VASP.

```
&SYSTEM
  ibrav = 0, nat = 9, ntyp = 2
/
ATOMIC_SPECIES
Cd 112.41 Cd.upf
Mg 24.30 Mg.upf
ATOMIC_POSITIONS crystal
Cd 0.000 0.634 0.634
Cd 0.000 0.366 0.000
Cd 0.000 0.000 0.366
Cd 0.500 0.300 0.300
Cd 0.500 0.000 0.700
Cd 0.500 0.700 0.000
Mg 0.000 0.000 0.000
Mg 0.500 0.333 0.667
Mg 0.500 0.667 0.333
CELL_PARAMETERS angstrom
3.276 0.000 0.000
0.000 8.445 0.000
0.000 -4.223 7.314
```

Results
E_form	-0.05	eV per formula unit
size of the total moment	0.00	μB/f.u.
symmetry	P-62m, No. 189
total DFT energy (no corrections)	-10.43	eV for the cell shown

=====

6.
Material: ErGa3Cu8
Method: DFT, PBE-GGA
State: relaxed Values from VASP.

```
&SYSTEM
  ibrav = 0, nat = 12, ntyp = 3
/
ATOMIC_SPECIES
Cu 63.55 Cu.upf
Ga 69.72 Ga.upf
Er 167.26 Er.upf
ATOMIC_POSITIONS crystal
Cu 0.502 0.005 0.759
Cu 0.164 0.836 0.244
Cu 0.502 0.498 0.759
Cu 0.995 0.498 0.759
Cu 0.333 0.667 0.001
Cu 0.671 0.836 0.244
Cu 0.333 0.667 0.495
Cu 0.164 0.329 0.244
Ga 0.000 0.000 0.946
Ga 0.667 0.333 0.060
Ga 0.667 0.333 0.422
Er 0.000 0.000 0.568
CELL_PARAMETERS angstrom
-3.157 -2.576 2.779
4.703 -1.438 -0.367
1.920 4.627 6.470
```

Results
E_form	-1.50	eV per formula unit
size of the total moment	0.00	μB/f.u.
symmetry	P3m1, No. 156
total DFT energy (no corrections)	-47.92	eV for the cell shown

=====

7.
Material: CsNbP2
Method: DFT, PBE-GGA
State: relaxed Values from VASP.

```
&SYSTEM
  ibrav = 0, nat = 4, ntyp = 3
/
ATOMIC_SPECIES
P 30.97 P.upf
Nb 92.91 Nb.upf
Cs 132.91 Cs.upf
ATOMIC_POSITIONS crystal
P 0.750 0.750 0.750
P 0.250 0.250 0.250
Nb 0.000 0.000 0.000
Cs 0.500 0.500 0.500
CELL_PARAMETERS angstrom
3.488 -1.953 -2.890
2.023 -4.345 1.167
-0.999 -3.995 -2.716
```

Results
E_form	3.34	eV per formula unit
ΔE to the lowest computed polymorph	1177	meV per atom
size of the total moment	0.00	μB/f.u.
symmetry	Fm-3m, No. 225
total DFT energy (no corrections)	-18.40	eV for the cell shown

=====

8.
Material: Na3NdHo2S6
Method: DFT, PBE-GGA
State: relaxed Values from VASP.

```
&SYSTEM
  ibrav = 0, nat = 12, ntyp = 4
/
ATOMIC_SPECIES
Ho 164.93 Ho.upf
S 32.06 S.upf
Na 22.99 Na.upf
Nd 144.24 Nd.upf
ATOMIC_POSITIONS crystal
Ho 0.667 0.333 0.000
Ho 0.333 0.667 0.000
S 0.419 0.076 0.228
S 0.924 0.581 0.772
S 0.581 0.924 0.772
S 0.267 0.267 0.771
S 0.076 0.419 0.228
S 0.733 0.733 0.229
Na 0.834 0.166 0.500
Na 0.166 0.834 0.500
Na 0.500 0.500 0.500
Nd 0.000 0.000 0.000
CELL_PARAMETERS angstrom
-6.480 1.319 2.195
1.113 -4.896 -4.832
2.487 -3.399 5.693
```

Results
size of the total moment	0.00	μB/f.u.
symmetry	C2/m, No. 12
total DFT energy (no corrections)	-64.60	eV for the cell shown

=====

9.
Material: YZrPt6
Method: DFT, PBE-GGA
State: relaxed Values from VASP.

```
&SYSTEM
  ibrav = 0, nat = 8, ntyp = 3
/
ATOMIC_SPECIES
Pt 195.08 Pt.upf
Zr 91.22 Zr.upf
Y 88.91 Y.upf
ATOMIC_POSITIONS crystal
Pt 0.000 0.500 0.258
Pt 0.500 0.000 0.258
Pt 0.500 0.500 0.500
Pt 0.500 0.000 0.742
Pt 0.000 0.500 0.742
Pt 0.500 0.500 0.000
Zr 0.000 0.000 0.500
Y 0.000 0.000 0.000
CELL_PARAMETERS angstrom
-2.934 2.519 -1.329
-0.578 -2.395 -3.264
-5.580 -4.310 4.150
```

Results
E_form	-8.35	eV per formula unit
size of the total moment	0.00	μB/f.u.
symmetry	P4/mmm, No. 123
total DFT energy (no corrections)	-59.61	eV for the cell shown

=====

10.
Material: Ho5ZnHg4
Method: DFT, PBE-GGA
State: relaxed Values from VASP.

```
&SYSTEM
  ibrav = 0, nat = 10, ntyp = 3
/
ATOMIC_SPECIES
Hg 200.59 Hg.upf
Zn 65.41 Zn.upf
Ho 164.93 Ho.upf
ATOMIC_POSITIONS crystal
Hg 0.000 0.000 0.602
Hg 0.000 0.000 0.398
Hg 0.000 0.000 0.806
Hg 0.000 0.000 0.194
Zn 0.000 0.000 0.000
Ho 0.500 0.500 0.092
Ho 0.500 0.500 0.908
Ho 0.500 0.500 0.703
Ho 0.500 0.500 0.297
Ho 0.500 0.500 0.500
CELL_PARAMETERS angstrom
-3.593 0.398 0.592
-0.468 -3.610 -0.411
2.722 -2.419 18.142
```

Results
E_form	-4.52	eV per formula unit
size of the total moment	0.00	μB/f.u.
symmetry	P4/mmm, No. 123
total DFT energy (no corrections)	-29.89	eV for the cell shown

=====

11.
Material: PmPr2Sc2
Method: DFT, PBE-GGA
State: relaxed Values from VASP.

```
&SYSTEM
  ibrav = 0, nat = 10, ntyp = 3
/
ATOMIC_SPECIES
Pr 140.91 Pr.upf
Pm 145.00 Pm.upf
Sc 44.96 Sc.upf
ATOMIC_POSITIONS crystal
Pr 0.808 0.872 0.431
Pr 0.692 0.569 0.128
Pr 0.308 0.431 0.872
Pr 0.192 0.128 0.569
Pm 0.250 0.948 0.052
Pm 0.750 0.052 0.948
Sc 0.211 0.406 0.298
Sc 0.289 0.702 0.594
Sc 0.711 0.298 0.406
Sc 0.789 0.594 0.702
CELL_PARAMETERS angstrom
-2.460 5.558 1.015
-3.003 2.357 -6.638
-6.355 -1.093 4.129
```

Results
E_form	0.82	eV per formula unit
ΔE to the lowest computed polymorph	53	meV per atom
size of the total moment	0.00	μB/f.u.
symmetry	C2/c, No. 15
total DFT energy (no corrections)	-52.30	eV for the cell shown

=====

12.
Material: MnAgSe2
Method: DFT, PBE-GGA
State: relaxed Values from VASP.

```
&SYSTEM
  ibrav = 0, nat = 8, ntyp = 3
/
ATOMIC_SPECIES
Se 78.96 Se.upf
Mn 54.94 Mn.upf
Ag 107.87 Ag.upf
ATOMIC_POSITIONS crystal
Se 0.670 0.830 0.000
Se 0.330 0.170 0.000
Se 0.170 0.670 0.000
Se 0.830 0.330 0.000
Mn 0.250 0.750 0.500
Mn 0.750 0.250 0.500
Ag 0.750 0.750 0.500
Ag 0.250 0.250 0.500
CELL_PARAMETERS angstrom
-0.296 -3.981 6.552
-5.360 -4.581 -3.025
-0.824 -5.997 0.811
```

Results
size of the total moment	1.77	μB/f.u.
symmetry	I4/mcm, No. 140
total DFT energy (no corrections)	-38.33	eV for the cell shown

=====

13.
Material: Hf2AgNF
Method: DFT, PBE-GGA
State: relaxed Values from VASP.

```
&SYSTEM
  ibrav = 0, nat = 5, ntyp = 4
/
ATOMIC_SPECIES
Hf 178.49 Hf.upf
N 14.01 N.upf
F 19.00 F.upf
Ag 107.87 Ag.upf
ATOMIC_POSITIONS crystal
Hf 0.000 0.000 0.500
Hf 0.500 0.000 0.000
N 0.500 0.500 0.500
F 0.000 0.500 0.000
Ag 0.000 0.000 0.000
CELL_PARAMETERS angstrom
5.100 0.000 0.000
0.000 4.052 0.000
0.000 0.000 5.100
```

Results
size of the total moment	0.00	μB/f.u.
symmetry	P4/mmm, No. 123
total DFT energy (no corrections)	-26.05	eV for the cell shown

=====

14.
Material: Ac5TbPb4
Method: DFT, PBE-GGA
State: relaxed Values from VASP.

```
&SYSTEM
  ibrav = 0, nat = 10, ntyp = 3
/
ATOMIC_SPECIES
Ac 227.00 Ac.upf
Pb 207.20 Pb.upf
Tb 158.93 Tb.upf
ATOMIC_POSITIONS crystal
Ac 0.166 0.328 0.333
Ac 0.835 0.172 0.670
Ac 0.834 0.672 0.667
Ac 0.165 0.828 0.330
Ac 0.500 0.500 0.000
Pb 0.671 0.096 0.343
Pb 0.007 0.250 0.014
Pb 0.329 0.904 0.657
Pb 0.993 0.750 0.986
Tb 0.500 0.000 0.000
CELL_PARAMETERS angstrom
-0.225 4.238 3.773
-7.319 -1.973 1.780
10.264 -5.689 2.727
```

Results
E_form	-3.44	eV per formula unit
size of the total moment	0.00	μB/f.u.
symmetry	C2/m, No. 12
total DFT energy (no corrections)	-43.45	eV for the cell shown

=====

15.
Material: Tb4EuEr
Method: DFT, PBE-GGA
State: relaxed Values from VASP.

```
&SYSTEM
  ibrav = 0, nat = 6, ntyp = 3
/
ATOMIC_SPECIES
Tb 158.93 Tb.upf
Er 167.26 Er.upf
Eu 151.96 Eu.upf
ATOMIC_POSITIONS crystal
Tb 0.627 0.119 0.627
Tb 0.627 0.627 0.627
Tb 0.119 0.627 0.627
Tb 0.627 0.627 0.119
Er 0.000 0.000 0.000
Eu 0.250 0.250 0.250
CELL_PARAMETERS angstrom
-0.735 5.751 3.290
-3.719 4.880 -2.607
-5.876 1.542 2.745
```

Results
E_form	1.46	eV per formula unit
size of the total moment	7.36	μB/f.u.
symmetry	F-43m, No. 216
total DFT energy (no corrections)	-31.89	eV for the cell shown